# 1
VASP calculation (GGA-PBE) on a geometry-optimized Ta2Nb3Al2 structure.

Unit cell a=6.972 b=6.972 c=6.972 alpha=109.47 beta=109.47 gamma=109.47
Element x y z (fractional)
Ta: 0.000 0.164 0.500
Ta: 0.164 0.500 0.000
Ta: 0.336 0.336 0.336
Ta: 0.500 0.000 0.164
Nb: 0.125 0.875 0.250
Nb: 0.250 0.125 0.875
Nb: 0.375 0.625 0.750
Nb: 0.625 0.750 0.375
Nb: 0.750 0.375 0.625
Nb: 0.875 0.250 0.125
Al: 0.000 0.667 0.500
Al: 0.500 0.000 0.667
Al: 0.667 0.500 0.000
Al: 0.833 0.833 0.833

raw total energy: -118.6 eV per cell
formation energy: 0.299 eV/atom
V: 261 Å³/cell
total moment: 0.0 μB/f.u.
Fermi-level density of states: 8.99 states/eV per cell

# 2
VASP calculation (GGA-PBE) on a geometry-optimized TaNbAl structure.

Unit cell a=8.097 b=8.097 c=8.097 alpha=160.51 beta=160.51 gamma=27.70
Element x y z (fractional)
Ta: 0.000 0.000 0.000
Nb: 0.349 0.349 0.000
Al: 0.174 0.174 0.000

raw total energy: -24.0 eV per cell
formation energy: 0.556 eV/atom
offset from the most stable computed form: 712 meV/atom
V: 59 Å³/cell
total moment: 0.0 μB/f.u.
Fermi-level density of states: 3.55 states/eV per cell

# 3
VASP calculation (GGA-PBE) on a geometry-optimized TaNbAl4 structure.

Unit cell a=5.127 b=5.127 c=5.127 alpha=60.00 beta=60.00 gamma=60.00
Element x y z (fractional)
Ta: 0.000 0.000 0.000
Nb: 0.750 0.750 0.750
Al: 0.375 0.375 0.375
Al: 0.375 0.375 0.875
Al: 0.375 0.875 0.375
Al: 0.875 0.375 0.375

raw total energy: -38.3 eV per cell
formation energy: -0.229 eV/atom
V: 95 Å³/cell
total moment: 0.0 μB/f.u.
Fermi-level density of states: 3.67 states/eV per cell

# 4
VASP calculation (GGA-PBE) on a geometry-optimized Ta6Nb5Al structure.

Unit cell a=7.202 b=7.202 c=4.666 alpha=108.77 beta=108.77 gamma=86.83
Element x y z (fractional)
Ta: 0.082 0.415 0.749
Ta: 0.243 0.243 0.245
Ta: 0.415 0.082 0.749
Ta: 0.585 0.918 0.251
Ta: 0.757 0.757 0.755
Ta: 0.918 0.585 0.251
Nb: 0.170 0.830 0.000
Nb: 0.331 0.669 0.500
Nb: 0.500 0.500 0.000
Nb: 0.669 0.331 0.500
Nb: 0.830 0.170 0.000
Al: 0.000 0.000 0.500

raw total energy: -125.7 eV per cell
formation energy: -0.037 eV/atom
V: 217 Å³/cell
total moment: 0.0 μB/f.u.
Fermi-level density of states: 15.47 states/eV per cell